# 1
# HoNiSn2 PBE relaxed
# - Formation energy: -0.17 eV per atom
# - Calculated volume: 90.7 Å³ per cell
# - VASP energy: -4.76 eV per atom
data_HoNiSn2
_symmetry_space_group_name_H-M 'P 1'
_symmetry_Int_Tables_number 1
_cell_length_a 3.511
_cell_length_b 3.511
_cell_length_c 8.737
_cell_angle_alpha 78.41
_cell_angle_beta 78.41
_cell_angle_gamma 60.00
loop_
_symmetry_equiv_pos_as_xyz
'x,y,z'
loop_
_atom_site_label
_atom_site_fract_x
_atom_site_fract_y
_atom_site_fract_z
Ho1 0.500 0.500 0.500
Sn1 0.268 0.268 0.197
Sn2 0.732 0.732 0.803
Ni1 0.000 0.000 0.000

# 2
# Zn2CrRe PBE relaxed
# - Formation energy: 0.24 eV per atom
# - Calculated volume: 54.8 Å³ per cell
# - VASP energy: -5.91 eV per atom
data_Zn2CrRe
_symmetry_space_group_name_H-M 'P 1'
_symmetry_Int_Tables_number 1
_cell_length_a 4.262
_cell_length_b 4.262
_cell_length_c 4.262
_cell_angle_alpha 119.90
_cell_angle_beta 119.90
_cell_angle_gamma 90.17
loop_
_symmetry_equiv_pos_as_xyz
'x,y,z'
loop_
_atom_site_label
_atom_site_fract_x
_atom_site_fract_y
_atom_site_fract_z
Zn1 0.250 0.750 0.500
Zn2 0.000 0.000 0.000
Re1 0.750 0.250 0.500
Cr1 0.500 0.500 0.000

# 3
# Li2MgInHg4 PBE relaxed
# - Formation energy: -0.25 eV per atom
# - Calculated volume: 169.8 Å³ per cell
# - VASP energy: -1.42 eV per atom
data_Li2MgInHg4
_symmetry_space_group_name_H-M 'P 1'
_symmetry_Int_Tables_number 1
_cell_length_a 4.946
_cell_length_b 4.946
_cell_length_c 8.507
_cell_angle_alpha 73.10
_cell_angle_beta 73.10
_cell_angle_gamma 60.00
loop_
_symmetry_equiv_pos_as_xyz
'x,y,z'
loop_
_atom_site_label
_atom_site_fract_x
_atom_site_fract_y
_atom_site_fract_z
Li1 0.748 0.748 0.757
Li2 0.252 0.252 0.243
In1 0.000 0.000 0.000
Hg1 0.619 0.619 0.142
Hg2 0.381 0.381 0.858
Hg3 0.870 0.870 0.391
Hg4 0.130 0.130 0.609
Mg1 0.500 0.500 0.500

# 4
# Na3SnP PBE relaxed
# - Formation energy: -0.24 eV per atom
# - Calculated volume: 504.4 Å³ per cell
# - VASP energy: -2.91 eV per atom
data_Na3SnP
_symmetry_space_group_name_H-M 'P 1'
_symmetry_Int_Tables_number 1
_cell_length_a 5.632
_cell_length_b 9.810
_cell_length_c 9.863
_cell_angle_alpha 112.24
_cell_angle_beta 90.00
_cell_angle_gamma 90.00
loop_
_symmetry_equiv_pos_as_xyz
'x,y,z'
loop_
_atom_site_label
_atom_site_fract_x
_atom_site_fract_y
_atom_site_fract_z
Sn1 0.055 0.580 0.410
Sn2 0.555 0.920 0.090
Sn3 0.445 0.080 0.910
Sn4 0.945 0.420 0.590
Na1 0.807 0.068 0.431
Na2 0.503 0.330 0.337
Na3 0.069 0.757 0.148
Na4 0.931 0.243 0.852
Na5 0.193 0.932 0.569
Na6 0.997 0.830 0.837
Na7 0.307 0.432 0.069
Na8 0.431 0.257 0.648
Na9 0.693 0.568 0.931
Na10 0.569 0.743 0.352
Na11 0.003 0.170 0.163
Na12 0.497 0.670 0.663
P1 0.806 0.465 0.172
P2 0.194 0.535 0.828
P3 0.306 0.035 0.328
P4 0.694 0.965 0.672

# 5
# YSbSe PBE relaxed
# - Calculated volume: 154.8 Å³ per cell
# - VASP energy: -5.99 eV per atom
data_YSbSe
_symmetry_space_group_name_H-M 'P 1'
_symmetry_Int_Tables_number 1
_cell_length_a 4.151
_cell_length_b 4.151
_cell_length_c 9.449
_cell_angle_alpha 102.69
_cell_angle_beta 102.69
_cell_angle_gamma 90.00
loop_
_symmetry_equiv_pos_as_xyz
'x,y,z'
loop_
_atom_site_label
_atom_site_fract_x
_atom_site_fract_y
_atom_site_fract_z
Y1 0.649 0.649 0.299
Y2 0.351 0.351 0.701
Se1 0.188 0.188 0.375
Se2 0.812 0.812 0.625
Sb1 0.500 0.000 0.000
Sb2 0.000 0.500 0.000

# 6
# Sm3ThHg2C PBE relaxed
# - Formation energy: -0.29 eV per atom
# - Calculated volume: 195.3 Å³ per cell
# - VASP energy: -4.77 eV per atom
data_Sm3ThHg2C
_symmetry_space_group_name_H-M 'P 1'
_symmetry_Int_Tables_number 1
_cell_length_a 5.048
_cell_length_b 5.085
_cell_length_c 8.408
_cell_angle_alpha 107.60
_cell_angle_beta 107.47
_cell_angle_gamma 90.00
loop_
_symmetry_equiv_pos_as_xyz
'x,y,z'
loop_
_atom_site_label
_atom_site_fract_x
_atom_site_fract_y
_atom_site_fract_z
Sm1 0.000 0.500 0.000
Sm2 0.831 0.831 0.662
Sm3 0.169 0.169 0.338
C1 0.000 0.000 0.000
Th1 0.500 0.000 0.000
Hg1 0.369 0.369 0.738
Hg2 0.631 0.631 0.262